! Zn2Te2O5, relaxed, DFT PBE; values from VASP
&SYSTEM
  ibrav = 0, nat = 9, ntyp = 3
/
ATOMIC_SPECIES
Zn 65.41 Zn.upf
Te 127.60 Te.upf
O 16.00 O.upf
CELL_PARAMETERS angstrom
3.990 0.000 0.000
0.000 3.990 0.000
0.000 0.000 8.124
ATOMIC_POSITIONS crystal
Zn 0.000 0.000 0.000
Zn 0.000 0.000 0.500
Te 0.500 0.500 0.239
Te 0.500 0.500 0.761
O 0.000 0.500 0.177
O 0.000 0.500 0.823
O 0.500 0.000 0.177
O 0.500 0.000 0.823
O 0.500 0.500 0.000
! Space-group type = P4/mmm (123)
! Energy = -4.32 eV/atom
! Theoretical density = 6.0 g/cm³